# Ba10Fe8Pt2Cl2O25 (PBE with a Hubbard U, relaxed)
data_Ba10Fe8Pt2Cl2O25
_cell_length_a 5.9244
_cell_length_b 5.9244
_cell_length_c 25.0997
_cell_angle_alpha 90.00
_cell_angle_beta 90.00
_cell_angle_gamma 120.00
_space_group_name_H-M_alt 'P 1'
_space_group_IT_number 1
_space_group_name_Hall 'P 1'
loop_
_atom_site_label
_atom_site_fract_x
_atom_site_fract_y
_atom_site_fract_z
O1 0.6598 0.8299 0.3974
O2 0.4873 0.5127 0.7034
Ba1 0.0000 0.0000 0.8805
O3 0.1701 0.3402 0.3974
O4 0.1812 0.3624 0.1942
O5 0.4935 0.5065 0.0908
Cl1 0.6667 0.3333 0.5000
Fe1 0.3333 0.6667 0.8625
Ba2 0.0000 0.0000 0.2880
Ba3 0.3333 0.6667 0.0000
Fe2 0.3333 0.6667 0.6429
O6 0.4873 0.9745 0.2966
O7 0.4935 0.5065 0.9092
Ba4 0.0000 0.0000 0.1195
Fe3 0.3333 0.6667 0.3571
O8 0.1701 0.8299 0.3974
O9 0.6598 0.8299 0.6026
O10 0.1701 0.8299 0.6026
O11 0.1701 0.3402 0.6026
Fe4 0.0000 0.0000 0.4262
Cl2 0.0000 0.0000 0.0000
Fe5 0.0000 0.0000 0.5738
O12 0.1812 0.3624 0.8058
Ba5 0.6667 0.3333 0.6236
O13 0.0130 0.5065 0.9092
O14 0.4935 0.9870 0.9092
O15 0.0255 0.5127 0.7034
Ba6 0.6667 0.3333 0.2115
O16 0.6376 0.8188 0.8058
Ba7 0.3333 0.6667 0.5000
O17 0.6376 0.8188 0.1942
Fe6 0.6667 0.3333 0.9301
O18 0.4873 0.9745 0.7034
Fe7 0.3333 0.6667 0.1375
O19 0.1812 0.8188 0.1942
O20 0.0130 0.5065 0.0908
O21 0.4935 0.9870 0.0908
Fe8 0.6667 0.3333 0.0699
O22 0.1812 0.8188 0.8058
Ba8 0.6667 0.3333 0.7885
Ba9 0.0000 0.0000 0.7120
O23 0.0000 0.0000 0.5000
Pt1 0.3333 0.6667 0.7539
O24 0.0255 0.5127 0.2966
Pt2 0.3333 0.6667 0.2461
O25 0.4873 0.5127 0.2966
Ba10 0.6667 0.3333 0.3764
# Raw total energy = -294.5 eV/cell
# Spin magnetization = 18.18 μB per formula unit
# N(E_F) = 18.281 states/eV per cell
# Calculated volume = 762.94 Å³/f.u.